A plane-wave DFT calculation with PBE was carried out for an optimized crystal structure of CdSiH.

Lattice parameters (Å, degrees): 4.6932 4.7254 5.9239 107.75 105.90 95.34
With the nearest neighbours (Å) after each atom.
Space group P-1 (No. 2)
One atom of each set of equivalent atoms:
Cd  0.0000  0.0000  0.0000 (multiplicity 1)  2 Si 2.57, 2 H 2.72
Cd  0.0000  0.5000  0.5000 (multiplicity 1)  2 Si 2.57
Si  0.3140  0.3101  0.8329 (multiplicity 2)  1 H 1.52
H  0.4972  0.1063  0.7042 (multiplicity 2)  1 Si 1.52

Values from the calculation:
* polymorph energy (0 for the lowest one): 0.043 eV/atom